Record 1
Sm6Ho4Sc | PBE | relaxed

Calculated values
Distance to the lowest polymorph of the same formula (meV per atom): 0.0

abc: 5.7495 5.5878 25.6264
angles: 90.00 90.00 120.96
Closest atoms and distances in Å follow each position.
Element x y z (fractional)
Sm 0.5000 0.0000 0.0000  8 Ho 3.18-3.53
Sm 0.5000 0.0000 0.5000  8 Ho 3.18-3.53
Sm 0.1277 0.2554 0.3168  5 Sm 3.42-3.72, 4 Ho 3.54-3.64, 3 Sc 3.62-3.71
Sm 0.8723 0.7446 0.6832  5 Sm 3.42-3.72, 4 Ho 3.54-3.64, 3 Sc 3.62-3.71
Sm 0.8723 0.7446 0.8168  5 Sm 3.42-3.72, 4 Ho 3.54-3.64, 3 Sc 3.62-3.71
Sm 0.1277 0.2554 0.1832  5 Sm 3.42-3.72, 4 Ho 3.54-3.64, 3 Sc 3.62-3.71
Sm 0.8010 0.6021 0.3948  5 Ho 3.28-3.57
Sm 0.1990 0.3979 0.6052  5 Ho 3.28-3.57
Sm 0.1990 0.3979 0.8948  5 Ho 3.28-3.57
Sm 0.8010 0.6021 0.1052  5 Ho 3.28-3.57
Sm 0.4581 0.9161 0.2500  3 Sc 3.23-3.27, 2 Ho 3.25, 2 Sm 3.60
Sm 0.5419 0.0839 0.7500  3 Sc 3.23-3.27, 2 Ho 3.25, 2 Sm 3.60
Ho 0.8488 0.6976 0.5443  7 Sm 3.41-3.70, 2 Ho 3.58-3.68
Ho 0.4597 0.9194 0.1230  6 Sm 3.18-3.54
Ho 0.1512 0.3024 0.4557  7 Sm 3.41-3.70, 2 Ho 3.58-3.68
Ho 0.5403 0.0806 0.8770  6 Sm 3.18-3.54
Ho 0.8488 0.6976 0.9557  7 Sm 3.41-3.70, 2 Ho 3.58-3.68
Ho 0.1512 0.3024 0.0443  7 Sm 3.41-3.70, 2 Ho 3.58-3.68
Ho 0.5403 0.0806 0.6230  6 Sm 3.18-3.54
Ho 0.4597 0.9194 0.3770  6 Sm 3.18-3.54
Sc 0.7946 0.5892 0.2500  3 Sm 3.23-3.27
Sc 0.2054 0.4108 0.7500  3 Sm 3.23-3.27

=====

Record 2
Sm12Ho3Sc | PBE | relaxed

abc: 5.0743 5.0743 20.2461
angles: 90.00 90.00 90.00
Closest atoms and distances in Å follow each position.
Element x y z (fractional)
Sm 0.5000 0.5000 0.0000  8 Sm 3.54, 4 Sc 3.59
Sm 0.5000 0.5000 0.2476  4 Ho 3.59, 8 Sm 3.60
Sm 0.5000 0.5000 0.5000  4 Ho 3.59, 8 Sm 3.60
Sm 0.5000 0.5000 0.7524  4 Ho 3.59, 8 Sm 3.60
Sm 0.5000 0.0000 0.1216  8 Sm 3.54-3.60, 2 Sc 3.54, 2 Ho 3.60
Sm 0.5000 0.0000 0.3739  8 Sm 3.59-3.60, 4 Ho 3.60
Sm 0.5000 0.0000 0.6261  8 Sm 3.59-3.60, 4 Ho 3.60
Sm 0.5000 0.0000 0.8784  2 Sc 3.54, 8 Sm 3.54-3.60, 2 Ho 3.60
Sm 0.0000 0.5000 0.1216  8 Sm 3.54-3.60, 2 Sc 3.54, 2 Ho 3.60
Sm 0.0000 0.5000 0.3739  8 Sm 3.59-3.60, 4 Ho 3.60
Sm 0.0000 0.5000 0.6261  8 Sm 3.59-3.60, 4 Ho 3.60
Sm 0.0000 0.5000 0.8784  2 Sc 3.54, 8 Sm 3.54-3.60, 2 Ho 3.60
Ho 0.0000 0.0000 0.2478  12 Sm 3.59-3.60
Ho 0.0000 0.0000 0.5000  12 Sm 3.59-3.60
Ho 0.0000 0.0000 0.7522  12 Sm 3.59-3.60
Sc 0.0000 0.0000 0.0000  12 Sm 3.54-3.59

=====

Record 3
Sm4HoSc3 | PBE | relaxed

Calculated values
Distance to the lowest polymorph of the same formula (meV per atom): 0.0

abc: 6.1026 7.1201 11.0579
angles: 90.00 90.00 90.00
Closest atoms and distances in Å follow each position.
Element x y z (fractional)
Sm 0.2657 0.8692 0.0000  6 Sm 3.45-3.64, 2 Ho 3.45-3.61, 4 Sc 3.46-3.58
Sm 0.2752 0.3809 0.0000  6 Sc 3.40-3.60, 4 Sm 3.47-3.64, 2 Ho 3.47-3.52
Sm 0.1045 0.1268 0.2504  5 Sm 3.45-3.55, 6 Sc 3.45-3.59, 1 Ho 3.47
Sm 0.6045 0.8732 0.2496  5 Sm 3.45-3.55, 6 Sc 3.45-3.59, 1 Ho 3.47
Sm 0.7752 0.6191 0.5000  6 Sc 3.40-3.60, 4 Sm 3.47-3.64, 2 Ho 3.47-3.52
Sm 0.7657 0.1308 0.5000  6 Sm 3.45-3.64, 2 Ho 3.45-3.61, 4 Sc 3.46-3.58
Sm 0.6045 0.8732 0.7504  5 Sm 3.45-3.55, 6 Sc 3.45-3.59, 1 Ho 3.47
Sm 0.1045 0.1268 0.7496  5 Sm 3.45-3.55, 6 Sc 3.45-3.59, 1 Ho 3.47
Ho 0.7801 0.6202 0.0000  6 Sc 3.37-3.63, 6 Sm 3.45-3.61
Ho 0.2801 0.3798 0.5000  6 Sc 3.37-3.63, 6 Sm 3.45-3.61
Sc 0.7635 0.1300 0.0000  2 Sc 3.36, 8 Sm 3.45-3.60, 2 Ho 3.49-3.63
Sc 0.1109 0.6222 0.2551  3 Sc 3.36-3.51, 2 Ho 3.37-3.47, 7 Sm 3.40-3.59
Sc 0.6109 0.3778 0.2449  3 Sc 3.36-3.51, 2 Ho 3.37-3.47, 7 Sm 3.40-3.59
Sc 0.2635 0.8700 0.5000  2 Sc 3.36, 8 Sm 3.45-3.60, 2 Ho 3.49-3.63
Sc 0.6109 0.3778 0.7551  3 Sc 3.36-3.51, 2 Ho 3.37-3.47, 7 Sm 3.40-3.59
Sc 0.1109 0.6222 0.7449  3 Sc 3.36-3.51, 2 Ho 3.37-3.47, 7 Sm 3.40-3.59

=====

Record 4
Sm2Ho5Sc4 | PBE | relaxed

abc: 5.4711 8.9189 8.5250
angles: 121.54 108.72 90.00
Closest atoms and distances in Å follow each position.
Element x y z (fractional)
Sm 0.6200 0.6200 0.2400  1 Sc 3.21, 1 Sm 3.23, 2 Ho 3.41
Sm 0.3800 0.3800 0.7600  1 Sc 3.21, 1 Sm 3.23, 2 Ho 3.41
Ho 0.7460 0.0779 0.4920  3 Ho 3.00-3.10, 1 Sc 3.33
Ho 0.7460 0.4141 0.4920  3 Ho 3.00-3.10, 1 Sc 3.33
Ho 0.2540 0.5859 0.5080  3 Ho 3.00-3.10, 1 Sc 3.33
Ho 0.2540 0.9221 0.5080  3 Ho 3.00-3.10, 1 Sc 3.33
Ho 0.5000 0.0000 0.0000  4 Sc 3.33, 4 Ho 3.64
Sc 0.0000 0.6968 0.0000  3 Sc 3.31-3.51, 2 Ho 3.43, 4 Sm 3.63
Sc 0.1414 0.1414 0.2829  1 Sm 3.21, 2 Sc 3.31, 8 Ho 3.33-3.42
Sc 0.0000 0.3032 0.0000  3 Sc 3.31-3.51, 2 Ho 3.43, 4 Sm 3.63
Sc 0.8586 0.8586 0.7171  1 Sm 3.21, 2 Sc 3.31, 8 Ho 3.33-3.42

=====

Record 5
Sm4HoSc3 | PBE | relaxed

Calculated values
Distance to the lowest polymorph of the same formula (meV per atom): 88.3

abc: 5.6480 5.8499 8.3439
angles: 111.08 109.78 90.00
Closest atoms and distances in Å follow each position.
Element x y z (fractional)
Sc 0.0000 0.5000 0.0000  2 Sc 3.19, 4 Sm 3.40
Sc 0.8770 0.9225 0.7540  1 Sc 3.19, 2 Ho 3.35, 4 Sm 3.37-3.51
Sc 0.1230 0.0775 0.2460  1 Sc 3.19, 2 Ho 3.35, 4 Sm 3.37-3.51
Ho 0.5000 0.0000 0.0000  2 Sm 3.25, 4 Sc 3.35
Sm 0.7520 0.3077 0.5040  6 Sm 3.37-3.63, 5 Sc 3.37-3.62, 1 Ho 3.67
Sm 0.2480 0.6923 0.4960  6 Sm 3.37-3.63, 5 Sc 3.37-3.62, 1 Ho 3.67
Sm 0.3710 0.3225 0.7420  1 Ho 3.25, 4 Sm 3.37-3.45, 3 Sc 3.40-3.60
Sm 0.6290 0.6775 0.2580  1 Ho 3.25, 4 Sm 3.37-3.45, 3 Sc 3.40-3.60

=====

Record 6
SmHoSc2 | PBE | relaxed

Calculated values
Distance to the lowest polymorph of the same formula (meV per atom): 34.9

abc: 5.4274 5.4274 5.4274
angles: 60.00 60.00 60.00
Closest atoms and distances in Å follow each position.
Element x y z (fractional)
Sc 0.2500 0.2500 0.2500  4 Ho 3.32, 4 Sm 3.32
Sc 0.7500 0.7500 0.7500  4 Sm 3.32, 4 Ho 3.32
Ho 0.0000 0.0000 0.0000  8 Sc 3.32
Sm 0.5000 0.5000 0.5000  8 Sc 3.32

=====

Record 7
SmHo6Sc2 | PBE | relaxed

Calculated values
Distance to the lowest polymorph of the same formula (meV per atom): 67.3

abc: 11.8864 7.1605 7.1605
angles: 85.52 71.21 71.21
Closest atoms and distances in Å follow each position.
Element x y z (fractional)
Sm 0.2500 0.0443 0.9557  2 Sc 3.15, 4 Ho 3.31-3.48
Sm 0.7500 0.9557 0.0443  2 Sc 3.15, 4 Ho 3.31-3.48
Ho 0.6044 0.7663 0.4846  4 Ho 3.17-3.44, 3 Sc 3.25-3.48, 1 Sm 3.48
Ho 0.8956 0.5154 0.2337  4 Ho 3.17-3.44, 3 Sc 3.25-3.48, 1 Sm 3.48
Ho 0.3956 0.2337 0.5154  4 Ho 3.17-3.44, 3 Sc 3.25-3.48, 1 Sm 3.48
Ho 0.1044 0.4846 0.7663  4 Ho 3.17-3.44, 3 Sc 3.25-3.48, 1 Sm 3.48
Ho 0.9316 0.0567 0.2609  2 Sc 3.12-3.46, 2 Ho 3.17-3.21, 1 Sm 3.31
Ho 0.5684 0.7391 0.9433  2 Sc 3.12-3.46, 2 Ho 3.17-3.21, 1 Sm 3.31
Ho 0.0684 0.9433 0.7391  2 Sc 3.12-3.46, 2 Ho 3.17-3.21, 1 Sm 3.31
Ho 0.4316 0.2609 0.0567  2 Sc 3.12-3.46, 2 Ho 3.17-3.21, 1 Sm 3.31
Ho 0.1457 0.6412 0.2390  3 Sc 3.15-3.48, 4 Ho 3.21-3.52
Ho 0.3543 0.7610 0.3588  3 Sc 3.15-3.48, 4 Ho 3.21-3.52
Ho 0.8543 0.3588 0.7610  3 Sc 3.15-3.48, 4 Ho 3.21-3.52
Ho 0.6457 0.2390 0.6412  3 Sc 3.15-3.48, 4 Ho 3.21-3.52
Sc 0.3582 0.6091 0.7827  8 Ho 3.12-3.48, 1 Sm 3.15
Sc 0.1418 0.2173 0.3909  8 Ho 3.12-3.48, 1 Sm 3.15
Sc 0.6418 0.3909 0.2173  8 Ho 3.12-3.48, 1 Sm 3.15
Sc 0.8582 0.7827 0.6091  8 Ho 3.12-3.48, 1 Sm 3.15

=====

Record 8
SmHo3Sc3 | PBE | relaxed

Calculated values
Distance to the lowest polymorph of the same formula (meV per atom): 158.1

abc: 8.4565 8.4565 8.4565
angles: 58.86 58.86 58.86
Closest atoms and distances in Å follow each position.
Element x y z (fractional)
Sm 0.3489 0.3489 0.3489  6 Sc 3.41-3.69, 6 Ho 3.52-3.59
Sm 0.6511 0.6511 0.6511  6 Sc 3.41-3.69, 6 Ho 3.52-3.59
Ho 0.7235 0.5687 0.0660  4 Sc 3.18-3.47, 2 Ho 3.47, 1 Sm 3.52
Ho 0.0660 0.7235 0.5687  4 Sc 3.18-3.47, 2 Ho 3.47, 1 Sm 3.52
Ho 0.5687 0.0660 0.7235  4 Sc 3.18-3.47, 2 Ho 3.47, 1 Sm 3.52
Ho 0.4313 0.9340 0.2765  4 Sc 3.18-3.47, 2 Ho 3.47, 1 Sm 3.52
Ho 0.9340 0.2765 0.4313  4 Sc 3.18-3.47, 2 Ho 3.47, 1 Sm 3.52
Ho 0.2765 0.4313 0.9340  4 Sc 3.18-3.47, 2 Ho 3.47, 1 Sm 3.52
Sc 0.7231 0.1682 0.9371  4 Sc 3.02-3.20, 3 Ho 3.18-3.31
Sc 0.1682 0.9371 0.7231  4 Sc 3.02-3.20, 3 Ho 3.18-3.31
Sc 0.9371 0.7231 0.1682  4 Sc 3.02-3.20, 3 Ho 3.18-3.31
Sc 0.0629 0.2769 0.8318  4 Sc 3.02-3.20, 3 Ho 3.18-3.31
Sc 0.8318 0.0629 0.2769  4 Sc 3.02-3.20, 3 Ho 3.18-3.31
Sc 0.2769 0.8318 0.0629  4 Sc 3.02-3.20, 3 Ho 3.18-3.31

=====

Table of energy of formation (eV per atom), in record order: 0.13 0.02 0.04 0.18 0.13 0.08 0.20 0.19